*P*
Entry from Alexandria via LeMat-Bulk: CsB3W after structural relaxation (PBE).

Results
* space group: Pm-3m, No. 221
* total magnetization: 0.000 μB/cell
* DOS at the Fermi energy: 2.134 states/eV/f.u.
* V: 90 Å³/cell
* crystal system: cubic

Cell: 4.473 4.473 4.473 Å, 90.00 90.00 90.00°
Positions (direct):
Cs 0.500 0.500 0.500
B 0.000 0.500 0.000
B 0.000 0.000 0.500
B 0.500 0.000 0.000
W 0.000 0.000 0.000

=====

*Q*
Entry from Alexandria via LeMat-Bulk: CsB3W after structural relaxation (PBE).

Results
* space group: Pm-3m, No. 221
* total magnetization: 0.000 μB/cell
* DOS at the Fermi energy: 4.841 states/eV/f.u.
* V: 82 Å³/cell
* crystal system: cubic

Cell: 4.338 4.338 4.338 Å, 90.00 90.00 90.00°
Positions (direct):
Cs 0.000 0.000 0.000
B 0.000 0.500 0.000
B 0.000 0.000 0.500
B 0.500 0.000 0.000
W 0.500 0.500 0.500

=====

Energy relative to the most stable one, in kJ/mol of atoms: *P* 0.0; *Q* 267.5

=====

*P*
Entry from Alexandria via LeMat-Bulk: CsYB2 after structural relaxation (PBE).

Results
* space group: Fm-3m, No. 225
* total magnetization: 0.000 μB/cell
* DOS at the Fermi energy: 2.785 states/eV/f.u.
* V: 86 Å³/cell
* crystal system: cubic

Cell: 4.963 4.963 4.963 Å, 60.00 60.00 60.00°
Positions (direct):
Cs 0.500 0.500 0.500
Y 0.000 0.000 0.000
B 0.250 0.250 0.250
B 0.750 0.750 0.750

=====

*Q*
Entry from Alexandria via LeMat-Bulk: CsYB2 after structural relaxation (PBE).

Results
* space group: I4_1/amd, No. 141
* total magnetization: 0.000 μB/cell
* DOS at the Fermi energy: 1.149 states/eV/f.u.
* V: 223 Å³/cell
* crystal system: tetragonal

Cell: 5.056 5.056 9.440 Å, 74.47 74.47 90.00°
Positions (direct):
Cs 0.000 0.000 0.000
Cs 0.750 0.250 0.500
Y 0.500 0.500 0.000
Y 0.250 0.750 0.500
B 0.375 0.125 0.250
B 0.375 0.625 0.250
B 0.375 0.625 0.750
B 0.875 0.625 0.750

=====

Energy relative to the most stable one, in kJ/mol of atoms: *P* 17.7; *Q* 0.0

=====

*P*
Entry from Alexandria via LeMat-Bulk: CsY3B after structural relaxation (PBE).

Results
* space group: Pm-3m, No. 221
* total magnetization: 0.000 μB/cell
* DOS at the Fermi energy: 5.512 states/eV/f.u.
* V: 174 Å³/cell
* crystal system: cubic

Cell: 5.578 5.578 5.578 Å, 90.00 90.00 90.00°
Positions (direct):
Cs 0.000 0.000 0.000
Y 0.000 0.500 0.000
Y 0.000 0.000 0.500
Y 0.500 0.000 0.000
B 0.500 0.500 0.500

=====

*Q*
Entry from Alexandria via LeMat-Bulk: CsY3B after structural relaxation (PBE).

Results
* space group: Pm-3m, No. 221
* total magnetization: 0.000 μB/cell
* DOS at the Fermi energy: 4.880 states/eV/f.u.
* V: 153 Å³/cell
* crystal system: cubic

Cell: 5.349 5.349 5.349 Å, 90.00 90.00 90.00°
Positions (direct):
Cs 0.500 0.500 0.500
Y 0.000 0.500 0.000
Y 0.000 0.000 0.500
Y 0.500 0.000 0.000
B 0.000 0.000 0.000

=====

Energy relative to the most stable one, in kJ/mol of atoms: *P* 174.5; *Q* 0.0

=====

*P*
Entry from Alexandria via LeMat-Bulk: Cs2YB after structural relaxation (PBE).

Results
* space group: Fm-3m, No. 225
* total magnetization: 0.000 μB/cell
* DOS at the Fermi energy: 6.008 states/eV/f.u.
* V: 157 Å³/cell
* crystal system: cubic

Cell: 6.056 6.056 6.056 Å, 60.00 60.00 60.00°
Positions (direct):
Cs 0.250 0.250 0.250
Cs 0.750 0.750 0.750
Y 0.500 0.500 0.500
B 0.000 0.000 0.000

=====

*Q*
Entry from Alexandria via LeMat-Bulk: Cs2YB after structural relaxation (PBE).

Results
* space group: I-42d, No. 122
* total magnetization: 1.252 μB/cell
* DOS at the Fermi energy: 3.427 states/eV/f.u.
* V: 481 Å³/cell
* crystal system: tetragonal

Cell: 10.292 10.292 10.292 Å, 93.13 93.13 152.99°
Site moments in Bohr magnetons follow the coordinates.
Positions (direct):
Cs 0.625 0.302 0.177  0.01
Cs 0.125 0.448 0.823  0.01
Cs 0.698 0.875 0.323  0.01
Cs 0.552 0.375 0.677  0.01
Y 0.000 0.000 0.000  0.19
Y 0.250 0.750 0.500  0.19
B 0.500 0.500 0.000  0.05
B 0.750 0.250 0.500  0.05

=====

Energy relative to the most stable one, in kJ/mol of atoms: *P* 80.0; *Q* 0.0

=====

*P*
Entry from Alexandria via LeMat-Bulk: CsZn3B after structural relaxation (PBE).

Results
* space group: Pm-3m, No. 221
* total magnetization: 1.919 μB/cell
* DOS at the Fermi energy: 9.907 states/eV/f.u.
* V: 348 Å³/cell
* crystal system: cubic

Cell: 7.033 7.033 7.033 Å, 90.00 90.00 90.00°
Site moments in Bohr magnetons follow the coordinates.
Positions (direct):
Cs 0.000 0.000 0.000  -0.01
Zn 0.000 0.500 0.000  -0.02
Zn 0.000 0.000 0.500  -0.02
Zn 0.500 0.000 0.000  -0.03
B 0.500 0.500 0.500  -0.47

=====

*Q*
Entry from Alexandria via LeMat-Bulk: CsZn3B after structural relaxation (PBE).

Results
* space group: Pm-3m, No. 221
* total magnetization: 0.000 μB/cell
* DOS at the Fermi energy: 2.664 states/eV/f.u.
* V: 103 Å³/cell
* crystal system: cubic

Cell: 4.682 4.682 4.682 Å, 90.00 90.00 90.00°
Positions (direct):
Cs 0.500 0.500 0.500
Zn 0.000 0.500 0.000
Zn 0.000 0.000 0.500
Zn 0.500 0.000 0.000
B 0.000 0.000 0.000

=====

Energy relative to the most stable one, in kJ/mol of atoms: *P* 112.9; *Q* 0.0

=====

*P*
Entry from Alexandria via LeMat-Bulk: CsZr3B after structural relaxation (PBE).

Results
* space group: Pm-3m, No. 221
* total magnetization: 0.000 μB/cell
* DOS at the Fermi energy: 6.142 states/eV/f.u.
* V: 116 Å³/cell
* crystal system: cubic

Cell: 4.879 4.879 4.879 Å, 90.00 90.00 90.00°
Positions (direct):
Cs 0.500 0.500 0.500
B 0.000 0.000 0.000
Zr 0.000 0.500 0.000
Zr 0.000 0.000 0.500
Zr 0.500 0.000 0.000

=====

*Q*
Entry from Alexandria via LeMat-Bulk: CsZr3B after structural relaxation (PBE).

Results
* space group: Pm-3m, No. 221
* total magnetization: 1.639 μB/cell
* DOS at the Fermi energy: 8.410 states/eV/f.u.
* V: 142 Å³/cell
* crystal system: cubic

Cell: 5.220 5.220 5.220 Å, 90.00 90.00 90.00°
Site moments in Bohr magnetons follow the coordinates.
Positions (direct):
Cs 0.000 0.000 0.000  0.08
B 0.500 0.500 0.500  -0.05
Zr 0.000 0.500 0.000  0.36
Zr 0.000 0.000 0.500  0.38
Zr 0.500 0.000 0.000  0.38

=====

Energy relative to the most stable one, in kJ/mol of atoms: *P* 0.0; *Q* 207.9